1.
SrLuZnSe3 | PBE-GGA | optimized geometry

Cell: 7.356 7.356 10.404 Å, 90.00 90.00 147.76°
Site moments in Bohr magnetons follow the coordinates.
Positions (direct):
Zn1 0.976 0.024 0.250  0.03
Lu1 0.500 0.500 0.000  0.10
Se1 0.135 0.865 0.939  0.01
Sr1 0.738 0.262 0.750  0.03
Se2 0.135 0.865 0.561  0.01
Se3 0.865 0.135 0.439  0.01
Se4 0.586 0.414 0.250  0.02
Se5 0.865 0.135 0.061  0.01
Lu2 0.500 0.500 0.500  0.10
Sr2 0.262 0.738 0.250  0.03
Se6 0.414 0.586 0.750  0.02
Zn2 0.024 0.976 0.750  0.03

Summary:
**Space-group type**: Cmcm, No. 63
**Total energy**: -4.33 eV per atom
**Density**: 6.25 g/cm3

2.
SrAgGe2Ir | PBE-GGA | optimized geometry

Cell: 6.150 6.150 6.150 Å, 138.04 138.04 60.84°
Positions (direct):
Ir1 0.500 0.500 0.000
Ge1 0.625 0.125 0.500
Ag1 0.000 0.000 0.000
Sr1 0.250 0.750 0.500
Ge2 0.875 0.375 0.500

Summary:
**Space-group type**: I-4m2, No. 119
**Total energy**: -4.88 eV per atom
**Density**: 8.61 g/cm3

3.
La3Mg3Hg2Pt | PBE-GGA | optimized geometry

Cell: 7.557 7.557 4.738 Å, 90.00 90.00 120.00°
Positions (direct):
Hg1 0.333 0.667 0.500
Hg2 0.667 0.333 0.500
Mg1 0.000 0.772 0.500
La1 0.000 0.401 0.000
Pt1 0.000 0.000 0.000
La2 0.599 0.599 0.000
La3 0.401 0.000 0.000
Mg2 0.772 0.000 0.500
Mg3 0.228 0.228 0.500

Summary:
**Space-group type**: P-62m, No. 189
**Total energy**: -3.46 eV per atom
**Density**: 7.69 g/cm3

4.
IrPtNO | PBE-GGA | optimized geometry

Cell: 4.102 4.102 5.343 Å, 90.00 90.00 90.00°
Positions (direct):
Ir1 0.500 0.000 0.914
Ir2 0.000 0.500 0.086
N1 0.500 0.000 0.290
N2 0.000 0.500 0.710
O1 0.000 0.000 0.000
Pt1 0.000 0.000 0.500
Pt2 0.500 0.500 0.500
O2 0.500 0.500 0.000

Summary:
**Space-group type**: P4/nmm, No. 129
**Polymorph energy (0 for the lowest one)**: 0.597 eV per atom
**Total energy**: -6.16 eV per atom
**Density**: 15.42 g/cm3

5.
ZrCdPO | PBE-GGA | optimized geometry

Cell: 3.622 6.237 6.410 Å, 90.00 90.00 90.00°
Positions (direct):
Zr1 0.500 0.464 0.088
O1 0.500 0.279 0.359
Zr2 0.500 0.536 0.588
Cd1 0.000 0.064 0.487
P1 0.000 0.696 0.320
O2 0.500 0.721 0.859
Cd2 0.000 0.936 0.987
P2 0.000 0.304 0.820

Summary:
**Space-group type**: Pmc2_1, No. 26
**Total energy**: -6.21 eV per atom
**Density**: 5.75 g/cm3

6.
Nb2C | PBE-GGA | optimized geometry

Cell: 4.958 5.539 3.096 Å, 90.00 90.00 90.00°
Positions (direct):
Nb1 0.758 0.154 0.000
C1 0.000 0.500 0.000
Nb2 0.242 0.846 0.000
Nb3 0.258 0.346 0.500
C2 0.500 0.000 0.500
Nb4 0.742 0.654 0.500

Summary:
**Space-group type**: Pnnm, No. 58
**Total energy**: -10.27 eV per atom
**Density**: 7.73 g/cm3

Number 2 is which compound? SrAgGe2Ir

Number 5 is which compound? ZrCdPO